[1]
A plane-wave DFT calculation with PBE was carried out for crystalline Mn4FeBr at its relaxed geometry.

## Properties
The value obtained for the calculated total energy is -6.966 eV/atom. The value obtained for the calculated volume is 79.47 Å³ per cell. Its space group is F-43m. For the energy relative to the elements, uncorrected, the calculation gives 5.02 eV/f.u.

Lattice parameters (Å, degrees): 4.8259 4.8259 4.8259 60.00 60.00 60.00
Closest atoms and distances in Å follow each position.
Element x y z (fractional)
1 Mn 0.6254 0.6254 0.6254  6 Mn 2.40-2.42
2 Mn 0.6254 0.1237 0.6254  6 Mn 2.40-2.42
3 Mn 0.1237 0.6254 0.6254  6 Mn 2.40-2.42
4 Mn 0.6254 0.6254 0.1237  6 Mn 2.40-2.42
5 Fe 0.0000 0.0000 0.0000  12 Mn 2.83, 4 Br 2.96
6 Br 0.2500 0.2500 0.2500  12 Mn 2.83, 4 Fe 2.96


[2]
A plane-wave DFT calculation with PBE was carried out for crystalline HgAs2I2 at its relaxed geometry.

## Properties
For the relative energy among the computed polymorphs, the calculation gives 0.000 eV per atom. The value obtained for the calculated total energy is -2.296 eV/atom. The value obtained for the calculated volume is 162.42 Å³ per cell. Its space group is I4/mmm. For the energy relative to the elements, uncorrected, the calculation gives 1.22 eV/f.u.

Lattice parameters (Å, degrees): 3.9177 3.9177 10.9386 79.68 79.68 90.00
Closest atoms and distances in Å follow each position.
Element x y z (fractional)
1 I 0.6299 0.6299 0.7402  4 As 3.21
2 I 0.3701 0.3701 0.2598  4 As 3.21
3 As 0.2500 0.7500 0.5000  4 As 2.77
4 As 0.7500 0.2500 0.5000  4 As 2.77
5 Hg 0.0000 0.0000 0.0000  8 I 3.90, 4 Hg 3.92